# 1
Density functional theory data (PBE) for crystalline CsDyMgS3 at its relaxed geometry.

abc: 9.323 4.146 10.130
angles: 90.00 110.84 90.00
Fractional coordinates of all 12 atoms:
Cs  0.218  0.250  0.237
Cs  0.782  0.750  0.763
Dy  0.334  0.750  0.868
Dy  0.666  0.250  0.132
Mg  0.084  0.250  0.613
Mg  0.916  0.750  0.387
S  0.131  0.250  0.861
S  0.189  0.750  0.552
S  0.478  0.750  0.148
S  0.522  0.250  0.852
S  0.811  0.250  0.448
S  0.869  0.750  0.139

Output
Uncorrected energy, eV/atom: -4.925
Calculated density, g cm⁻³: 3.77
Formation energy without anion corrections, kJ/mol of atoms: -162.7
Density of states at the Fermi level, states/eV/atom: 0.00



# 2
Density functional theory data (PBE) for crystalline GeSe2BrF at its relaxed geometry.

abc: 4.383 4.383 5.899
angles: 90.00 90.00 90.00
Fractional coordinates of all 5 atoms:
Ge  0.000  0.000  0.000
Se  0.000  0.500  0.500
Se  0.500  0.000  0.500
Br  0.500  0.500  0.000
F  0.500  0.500  0.500

Output
Uncorrected energy, eV/atom: -2.856
Relative energy among the computed polymorphs, meV/atom: 0
Calculated density, g cm⁻³: 4.83
Formation energy without anion corrections, kJ/mol of atoms: 16.4
Density of states at the Fermi level, states/eV/atom: 0.68



# 3
Density functional theory data (PBE) for crystalline Dy8Zn2Os at its relaxed geometry.

abc: 8.455 8.455 8.455
angles: 145.90 121.62 69.37
Fractional coordinates of all 11 atoms:
Dy  0.119  0.347  0.772
Dy  0.123  0.123  0.000
Dy  0.329  0.000  0.329
Dy  0.425  0.653  0.772
Dy  0.575  0.347  0.228
Dy  0.671  0.000  0.671
Dy  0.877  0.877  0.000
Dy  0.881  0.653  0.228
Zn  0.305  0.805  0.500
Zn  0.695  0.195  0.500
Os  0.000  0.500  0.500

Output
Uncorrected energy, eV/atom: -4.659
Relative energy among the computed polymorphs, meV/atom: 124
DFT formation energy, kJ/mol of atoms: -6
Calculated density, g cm⁻³: 9.47
Density of states at the Fermi level, states/eV/atom: 0.85